[1]
Density functional theory data (PBE-GGA) for an optimized crystal structure of PmAl2GaPd4.

Cell lengths 4.3197, 4.3197, 26.1024 Å; angles 90.00, 90.00, 120.00 degrees
Space group R-3m (No. 166, hexagonal axes)
Symmetry-distinct sites (fractional):
1 Pm 0.0000 0.0000 0.0000 (multiplicity 3)
2 Al 0.0000 0.0000 0.2407 (multiplicity 6)
3 Ga 0.0000 0.0000 0.5000 (multiplicity 3)
4 Pd 0.0000 0.0000 0.1337 (multiplicity 6)
5 Pd 0.0000 0.0000 0.4034 (multiplicity 6)

Values from the calculation:
energy relative to the elements: -0.792 eV/atom
E: -5.296 eV per atom

***

[2]
Density functional theory data (PBE-GGA) for an optimized crystal structure of Pr3AlGa2Pd6.

Cell lengths 5.7654, 5.7654, 8.6678 Å; angles 90.00, 90.00, 120.00 degrees
Space group P-3m1 (No. 164)
Symmetry-distinct sites (fractional):
1 Pr 0.0000 0.0000 0.0000 (multiplicity 1)
2 Pr 0.3333 0.6667 0.6231 (multiplicity 2)
3 Al 0.0000 0.0000 0.5000 (multiplicity 1)
4 Ga 0.3333 0.6667 0.0265 (multiplicity 2)
5 Pd 0.1725 0.3450 0.2824 (multiplicity 6)

Values from the calculation:
energy relative to the elements: -0.718 eV/atom
E: -5.326 eV per atom